(1)
Here is crystalline PmSiHPd2 at its relaxed geometry from Alexandria via LeMat-Bulk. Energies are from PBE-GGA.

Values from the calculation:
Its space group is Cmcm (63). As for the uncorrected energy: -5.60 eV per atom. For the density of states at the Fermi level, the calculation gives 3.04 states/eV per cell.

Unit cell a=3.920 b=5.783 c=7.267 alpha=90.00 beta=90.00 gamma=109.81
Fractional positions:
Pm: 0.444 0.887 0.750
Pm: 0.556 0.113 0.250
Si: 0.726 0.453 0.750
Si: 0.274 0.547 0.250
H: 0.000 0.000 0.000
H: 0.000 0.000 0.500
Pd: 0.163 0.326 0.944
Pd: 0.837 0.674 0.056
Pd: 0.163 0.326 0.556
Pd: 0.837 0.674 0.444


(2)
Here is crystalline Pm2TcH6Pd at its relaxed geometry from Alexandria via LeMat-Bulk. Energies are from PBE-GGA.

Values from the calculation:
Its space group is Fmmm (69). As for the uncorrected energy: -4.99 eV per atom. For the density of states at the Fermi level, the calculation gives 3.40 states/eV per cell.

Unit cell a=5.329 b=5.329 c=5.312 alpha=120.15 beta=120.15 gamma=89.88
Fractional positions:
Pm: 0.750 0.251 0.500
Pm: 0.250 0.750 0.500
Tc: 0.000 0.000 0.000
H: 0.759 0.759 0.000
H: 0.757 0.757 0.514
H: 0.241 0.241 0.999
H: 0.758 0.242 0.999
H: 0.243 0.243 0.486
H: 0.241 0.759 0.999
Pd: 0.500 0.501 0.000


Which value of uncorrected energy does entry 2 give? -4.99 eV per atom


Look up the uncorrected energy of the first one. -5.60 eV per atom